This record from Alexandria describes a relaxed CrHg crystal. The functional is PBE.

```
CrHg
1.0
-1.925 -0.361 -2.586
3.224 -0.072 -0.354
-0.028 -4.348 0.627
Hg Cr
1 1
direct
0.333 0.667 0.500
0.000 0.000 0.000
```

Summary:
The calculated formation energy is 0.6387 eV per atom. Its space group is P-6m2, No. 187. The value obtained for the density of states at the Fermi level is 1.6 states/eV/f.u.

This record from Alexandria describes a relaxed Cr2Hg crystal. The functional is PBE.

```
Cr2Hg
1.0
-1.355 -4.216 -2.905
-2.544 -4.486 1.205
0.080 5.283 0.370
Cr Hg
2 1
direct
0.634 0.634 0.000
0.033 0.033 0.000
0.333 0.333 0.000
```

Summary:
Its polymorph energy (0 for the lowest one) is 72 meV per atom. The calculated formation energy is 0.4558 eV per atom. Its space group is I4/mmm, No. 139. The value obtained for the density of states at the Fermi level is 2.6 states/eV/f.u.

This record from Alexandria describes a relaxed Cr3Hg crystal. The functional is PBE.

```
Cr3Hg
1.0
-3.497 1.887 1.339
-2.615 -2.295 -3.595
-0.953 -4.129 3.329
Hg Cr
2 6
direct
0.000 0.364 0.000
0.500 0.636 0.500
0.000 0.864 0.225
0.000 0.864 0.775
0.500 0.136 0.275
0.500 0.136 0.725
0.500 0.742 0.000
0.000 0.258 0.500
```

Summary:
The calculated formation energy is 0.5401 eV per atom. Its space group is Pmmn, No. 59. The value obtained for the density of states at the Fermi level is 3.8 states/eV/f.u.

This record from Alexandria describes a relaxed Cr2Hg crystal. The functional is PBE.

```
Cr2Hg
1.0
0.438 -3.655 -3.453
2.240 -1.080 4.392
-4.922 0.617 0.928
Cr Hg
4 2
direct
0.109 0.391 0.500
0.891 0.609 0.500
0.609 0.109 0.717
0.391 0.891 0.283
0.750 0.750 0.000
0.250 0.250 0.000
```

Summary:
Its polymorph energy (0 for the lowest one) is 436 meV per atom. The calculated formation energy is 0.8200 eV per atom. Its space group is I4/mcm, No. 140. The value obtained for the density of states at the Fermi level is 3.8 states/eV/f.u.

| no. | uncorrected energy (eV/cell) |
| --- | --- |
| 1 | -8.65 |
| 2 | -18.18 |
| 3 | -54.02 |
| 4 | -34.18 |